14
Lattice="6.319 0.000 0.000 -3.159 5.472 0.000 0.000 0.000 8.270" Properties=species:S:1:pos:R:3 comment="KTl3Co2F8 (GGA+U, optimized geometry)" crystal_system=trigonal total_energy_ev_per_atom=-4.412 magnetic_moment_mub_per_fu=6.00 pbc="T T T"
K 0.000 0.000 4.135
Tl 0.000 3.648 5.549
Tl 3.159 1.824 2.722
Tl 0.000 0.000 0.000
Co 0.000 3.648 1.596
Co 3.159 1.824 6.675
F 0.000 3.648 7.939
F 3.159 1.824 0.331
F -1.552 4.544 2.313
F 4.711 0.928 5.958
F 0.000 1.856 2.313
F 3.159 3.616 5.958
F 1.552 4.544 2.313
F 1.607 0.928 5.958